Computed, not measured: a relaxed TaRe2MoO crystal at the PBE with a Hubbard U level of DFT.

Lattice parameters (Å, degrees): 4.910 4.910 3.656 90.00 90.00 90.00
Fractional coordinates of all 5 atoms:
1 Ta 0.000 0.000 0.000
2 Re 0.000 0.500 0.500
3 Re 0.500 0.000 0.500
4 Mo 0.500 0.500 0.500
5 O 0.500 0.500 0.000

Results
Total energy ... -8.468 eV/atom
Crystal system ... tetragonal
Volume ... 17.63 A^3/atom